No. 1
Cs2NaSiBr6: optimized geometry, PBE.

* D(E_F): 0.55 states/eV per atom
* DFT total energy: -122.3 eV for the cell shown
* energy relative to the elements, uncorrected: -117 kJ per mole of atoms

Unit cell a=11.1305 b=11.1305 c=11.1305 alpha=90.00 beta=90.00 gamma=90.00
Space group Fm-3m (No. 225)
Inequivalent atoms, fractional coordinates:
Cs 0.2500 0.2500 0.2500 x8
Na 0.0000 0.0000 0.0000 x4
Si 0.0000 0.0000 0.5000 x4
Br 0.0000 0.0000 0.2680 x24

No. 2
CsNaSm2Br8: optimized geometry, PBE.

* D(E_F): 0.00 states/eV per atom
* DFT total energy: -46.3 eV for the cell shown
* energy relative to the elements, uncorrected: -171 kJ per mole of atoms

Unit cell a=7.2570 b=7.6174 c=8.9533 alpha=89.97 beta=89.97 gamma=84.41
Space group P-1 (No. 2)
Inequivalent atoms, fractional coordinates:
Cs 0.0000 0.0000 0.0000 x1
Na 0.0000 0.0000 0.5000 x1
Sm 0.5000 0.5001 0.2579 x2
Br 0.2725 0.8195 0.7158 x2
Br 0.2727 0.8197 0.2840 x2
Br 0.2801 0.3673 0.5001 x2
Br 0.2892 0.3824 0.0002 x2

No. 3
CsNa2SmBr6: optimized geometry, PBE.

* D(E_F): 0.00 states/eV per atom
* DFT total energy: -106.9 eV for the cell shown
* energy relative to the elements, uncorrected: -168 kJ per mole of atoms

Unit cell a=7.7355 b=7.7355 c=21.4410 alpha=90.00 beta=90.00 gamma=120.00
Space group R3 (No. 146, hexagonal axes)
Inequivalent atoms, fractional coordinates:
Cs 0.0000 0.0000 0.0000 x3
Na 0.0000 0.0000 0.2073 x3
Na 0.0000 0.0000 0.7266 x3
Sm 0.0000 0.0000 0.5326 x3
Br 0.0000 0.3217 0.4646 x9
Br 0.1152 0.7652 0.2889 x9

No. 4
Cs3Na2SmBr8: optimized geometry, PBE.

* D(E_F): 0.00 states/eV per atom
* DFT total energy: -47.3 eV for the cell shown
* energy relative to the elements, uncorrected: -165 kJ per mole of atoms

Unit cell a=8.0879 b=8.0879 c=10.7804 alpha=90.00 beta=90.00 gamma=120.00
Space group P-3m1 (No. 164)
Inequivalent atoms, fractional coordinates:
Cs 0.0000 0.0000 0.0000 x1
Cs 0.3333 0.6667 0.6232 x2
Na 0.3333 0.6667 0.1876 x2
Sm 0.0000 0.0000 0.5000 x1
Br 0.1633 0.3266 0.3416 x6
Br 0.3333 0.6667 0.9389 x2

No. 5
Cs2NaSnBr5: optimized geometry, PBE.

* D(E_F): 0.00 states/eV per atom
* DFT total energy: -111.3 eV for the cell shown
* energy relative to the elements, uncorrected: -133 kJ per mole of atoms

Unit cell a=4.9721 b=19.6758 c=14.9781 alpha=90.00 beta=90.00 gamma=90.00
Space group Cmc2_1 (No. 36)
Inequivalent atoms, fractional coordinates:
Cs 0.0000 0.1089 0.0000 x4
Cs 0.0000 0.1513 0.6263 x4
Na 0.0000 0.2162 0.3522 x4
Sn 0.0000 0.4676 0.7730 x4
Br 0.0000 0.0608 0.3724 x4
Br 0.0000 0.2847 0.9664 x4
Br 0.0000 0.3330 0.7050 x4
Br 0.0000 0.3676 0.3157 x4
Br 0.0000 0.4885 0.0929 x4

No. 6
CsNaSnBr4: optimized geometry, PBE.

* D(E_F): 0.00 states/eV per atom
* DFT total energy: -43.2 eV for the cell shown
* energy relative to the elements, uncorrected: -121 kJ per mole of atoms

Unit cell a=8.0481 b=7.8765 c=9.1526 alpha=90.00 beta=101.76 gamma=90.00
Space group P2_1/m (No. 11)
Inequivalent atoms, fractional coordinates:
Cs 0.1518 0.2500 0.0824 x2
Na 0.3876 0.2500 0.6736 x2
Sn 0.1568 0.7500 0.4626 x2
Br 0.1244 0.0051 0.7089 x4
Br 0.2689 0.7500 0.1709 x2
Br 0.4873 0.2500 0.3976 x2

No. 7
Cs2NaSn2Br7: optimized geometry, PBE.

* D(E_F): 0.00 states/eV per atom
* DFT total energy: -74.2 eV for the cell shown
* energy relative to the elements, uncorrected: -116 kJ per mole of atoms

Unit cell a=7.4533 b=9.3679 c=14.7278 alpha=90.00 beta=97.43 gamma=90.00
Space group C2/m (No. 12)
Inequivalent atoms, fractional coordinates:
Cs 0.2107 0.0000 0.3555 x4
Na 0.0000 0.0000 0.0000 x2
Sn 0.1457 0.5000 0.1935 x4
Br 0.0000 0.5000 0.0000 x2
Br 0.0842 0.1949 0.8312 x8
Br 0.2274 0.5000 0.3969 x4

No. 8
Cs2NaTaBr6: optimized geometry, PBE.

* D(E_F): 0.89 states/eV per atom
* DFT total energy: -151.3 eV for the cell shown
* energy relative to the elements, uncorrected: -124 kJ per mole of atoms

Unit cell a=11.2004 b=11.2004 c=11.2004 alpha=90.00 beta=90.00 gamma=90.00
Space group Fm-3m (No. 225)
Inequivalent atoms, fractional coordinates:
Cs 0.2500 0.2500 0.2500 x8
Na 0.0000 0.0000 0.0000 x4
Ta 0.0000 0.0000 0.5000 x4
Br 0.0000 0.0000 0.2640 x24

No. 9
CsNaTb2Br8: optimized geometry, PBE.

* D(E_F): 0.00 states/eV per atom
* DFT total energy: -46.1 eV for the cell shown
* energy relative to the elements, uncorrected: -171 kJ per mole of atoms

Unit cell a=7.2168 b=7.6049 c=8.7828 alpha=89.96 beta=89.96 gamma=84.30
Space group P-1 (No. 2)
Inequivalent atoms, fractional coordinates:
Cs 0.0000 0.0000 0.0000 x1
Na 0.0000 0.0000 0.5000 x1
Tb 0.5000 0.5000 0.2578 x2
Br 0.2786 0.3729 0.5002 x2
Br 0.2809 0.8184 0.2826 x2
Br 0.2807 0.8183 0.7172 x2
Br 0.2887 0.3859 0.0002 x2

No. 10
CsNaTbBr5: optimized geometry, PBE.

* D(E_F): 0.00 states/eV per atom
* DFT total energy: -117.8 eV for the cell shown
* energy relative to the elements, uncorrected: -172 kJ per mole of atoms

Unit cell a=9.5903 b=13.6754 c=10.9401 alpha=90.00 beta=110.83 gamma=90.00
Space group C2/c (No. 15)
Inequivalent atoms, fractional coordinates:
Cs 0.0000 0.1639 0.2500 x4
Na 0.0000 0.1869 0.7500 x4
Tb 0.0000 0.5000 0.0000 x4
Br 0.0000 0.4395 0.2500 x4
Br 0.0926 0.3077 0.5812 x8
Br 0.1999 0.0547 0.9342 x8

No. 11
CsNaTcBr6: optimized geometry, PBE.

* DFT total energy: -62.7 eV for the cell shown
* energy relative to the elements, uncorrected: -94 kJ per mole of atoms

Unit cell a=7.3719 b=7.3719 c=15.6225 alpha=90.00 beta=90.00 gamma=120.00
Space group P-31c (No. 163)
Inequivalent atoms, fractional coordinates:
Cs 0.0000 0.0000 0.0000 x2
Na 0.3333 0.6667 0.2500 x2
Tc 0.3333 0.6667 0.7500 x2
Br 0.0463 0.3941 0.6552 x12

No. 12
CsNa2TcBr8: optimized geometry, PBE.

* D(E_F): 0.29 states/eV per atom
* DFT total energy: -38.4 eV for the cell shown
* energy relative to the elements, uncorrected: -90 kJ per mole of atoms

Unit cell a=6.1393 b=6.9484 c=9.8989 alpha=90.04 beta=90.25 gamma=92.18
Space group P-1 (No. 2)
Inequivalent atoms, fractional coordinates:
Cs 0.0000 0.0000 0.0000 x1
Na 0.4989 0.5002 0.7215 x2
Tc 0.0000 0.0000 0.5000 x1
Br 0.2321 0.3122 0.4992 x2
Br 0.2336 0.8588 0.3179 x2
Br 0.2359 0.8613 0.6831 x2
Br 0.2523 0.4960 0.0000 x2